An optimized crystal structure of Fe2Cl2F, computed with PBE with a Hubbard U.

Cell and atoms, written as POSCAR:
```
Fe2Cl2F
1.0
5.857 -2.594 0.000
5.857 2.594 0.000
-3.242 0.000 6.112
Fe Cl F
4 4 2
direct
0.017 0.017 0.282
0.321 0.321 0.905
0.679 0.679 0.095
0.983 0.983 0.718
0.168 0.168 0.101
0.471 0.471 0.731
0.529 0.529 0.269
0.832 0.832 0.899
0.126 0.126 0.609
0.874 0.874 0.391
```

Output
- magnetization (μB per cell) = 14.01
- relative energy among the computed polymorphs (meV/atom) = 0
- V (Å³ per cell) = 186

=====

An optimized crystal structure of FeClF2, computed with PBE with a Hubbard U.

Cell and atoms, written as POSCAR:
```
FeClF2
1.0
-2.956 2.956 4.816
2.956 -2.956 4.816
2.956 2.956 -4.816
Fe Cl F
2 2 4
direct
0.375 0.625 0.750
0.625 0.375 0.250
0.125 0.875 0.250
0.875 0.125 0.750
0.000 0.500 0.500
0.500 0.000 0.000
0.500 0.500 0.000
0.500 0.500 0.500
```

Output
- magnetization (μB per cell) = 10.00
- relative energy among the computed polymorphs (meV/atom) = 0
- V (Å³ per cell) = 168

=====

An optimized crystal structure of Fe2ClF, computed with PBE with a Hubbard U.

Cell and atoms, written as POSCAR:
```
Fe2ClF
1.0
-2.403 2.403 6.759
2.403 -2.403 6.759
2.403 2.403 -6.759
Fe Cl F
4 2 2
direct
0.026 0.625 0.901
0.375 0.276 0.401
0.724 0.125 0.099
0.875 0.974 0.599
0.250 0.750 0.500
0.500 0.500 0.000
0.000 0.000 0.000
0.750 0.250 0.500
```

Output
- magnetization (μB per cell) = 14.54
- relative energy among the computed polymorphs (meV/atom) = 0
- V (Å³ per cell) = 156

=====

An optimized crystal structure of Fe2Cl2F, computed with PBE with a Hubbard U.

Cell and atoms, written as POSCAR:
```
Fe2Cl2F
1.0
7.180 0.000 0.000
0.000 7.180 0.000
0.000 0.000 3.184
Fe Cl F
4 4 2
direct
0.145 0.355 0.000
0.355 0.855 0.000
0.645 0.145 0.000
0.855 0.645 0.000
0.149 0.649 0.500
0.351 0.149 0.500
0.649 0.851 0.500
0.851 0.351 0.500
0.000 0.000 0.500
0.500 0.500 0.500
```

Output
- magnetization (μB per cell) = 14.00
- relative energy among the computed polymorphs (meV/atom) = 553
- V (Å³ per cell) = 164

=====

An optimized crystal structure of FeCl2F, computed with PBE with a Hubbard U.

Cell and atoms, written as POSCAR:
```
FeCl2F
1.0
0.000 3.100 3.100
3.100 0.000 3.100
3.100 3.100 0.000
Fe Cl F
1 2 1
direct
0.000 0.000 0.000
0.250 0.250 0.250
0.750 0.750 0.750
0.500 0.500 0.500
```

Output
- magnetization (μB per cell) = 5.00
- relative energy among the computed polymorphs (meV/atom) = 905
- V (Å³ per cell) = 60

=====

An optimized crystal structure of Fe3ClF, computed with PBE with a Hubbard U.

Cell and atoms, written as POSCAR:
```
Fe3ClF
1.0
4.333 0.000 0.000
0.000 4.333 0.000
0.000 0.000 4.333
Fe Cl F
3 1 1
direct
0.000 0.000 0.500
0.000 0.500 0.000
0.500 0.000 0.000
0.500 0.500 0.500
0.000 0.000 0.000
```

Output
- magnetization (μB per cell) = 9.89
- relative energy among the computed polymorphs (meV/atom) = 0
- V (Å³ per cell) = 81